Entry from Alexandria: a geometry-optimized Ba2Ho2Mg15 structure (PBE).

Unit cell a=10.7979 b=10.7979 c=15.7993 alpha=90.00 beta=90.00 gamma=120.00
Space group R-3m (No. 166, hexagonal axes)
Asymmetric unit:
Ba 0.0000 0.0000 0.1611 [6 per cell]
Ho 0.0000 0.0000 0.4022 [6 per cell]
Mg 0.0000 0.2878 0.5000 [18 per cell]
Mg 0.0000 0.5000 0.0000 [9 per cell]
Mg 0.0007 0.5004 0.6492 [18 per cell]

Values from the calculation:
E_form in kJ/mol of atoms: -3
Total magnetization in μB/f.u.: 0.00
V in Å³ per atom: 27.99
DOS(E_F) in states/eV/f.u.: 15.54